# 1
# Hg5Br

A relaxed Hg5Br crystal (GGA-PBE, the Alexandria database).

Output
- polymorph energy (0 for the lowest one) (kJ/mol of atoms) = 2.6
- magnetic moment (μB/atom) = 0.00
- DOS at the Fermi energy (states/eV/cell) = 4.1
- SG = No. 65

a = 6.264 Å, b = 13.623 Å, c = 4.211 Å
α = 90.00°, β = 90.00°, γ = 90.00°
Fractional positions:
Hg: 0.000 0.000 0.000
Hg: 0.000 0.160 0.500
Hg: 0.000 0.326 0.000
Hg: 0.000 0.674 0.000
Hg: 0.000 0.840 0.500
Hg: 0.500 0.174 0.000
Hg: 0.500 0.340 0.500
Hg: 0.500 0.500 0.000
Hg: 0.500 0.660 0.500
Hg: 0.500 0.826 0.000
Br: 0.000 0.500 0.500
Br: 0.500 0.000 0.500

***

# 2
# Hg13Br3

A relaxed Hg13Br3 crystal (GGA-PBE, the Alexandria database).

Output
- magnetic moment (μB/atom) = 0.00
- DOS at the Fermi energy (states/eV/cell) = 2.9
- total DFT energy (no corrections) (eV/atom) = -0.657
- SG = No. 38

a = 8.468 Å, b = 7.839 Å, c = 7.839 Å
α = 68.18°, β = 90.00°, γ = 90.00°
Fractional positions:
Hg: 0.000 0.000 0.000
Hg: 0.000 0.000 0.479
Hg: 0.000 0.479 0.000
Hg: 0.000 0.508 0.508
Hg: 0.247 0.258 0.754
Hg: 0.247 0.267 0.267
Hg: 0.247 0.754 0.258
Hg: 0.500 0.091 0.556
Hg: 0.500 0.556 0.091
Hg: 0.500 0.562 0.562
Hg: 0.753 0.258 0.754
Hg: 0.753 0.267 0.267
Hg: 0.753 0.754 0.258
Br: 0.241 0.763 0.763
Br: 0.500 0.071 0.071
Br: 0.759 0.763 0.763

***

# 3
# Hg2Br

A relaxed Hg2Br crystal (GGA-PBE, the Alexandria database).

Output
- polymorph energy (0 for the lowest one) (kJ/mol of atoms) = 33.9
- magnetic moment (μB/atom) = 0.00
- DOS at the Fermi energy (states/eV/cell) = 2.3
- SG = No. 164

a = 3.242 Å, b = 3.242 Å, c = 9.229 Å
α = 90.00°, β = 90.00°, γ = 120.00°
Fractional positions:
Hg: 0.333 0.667 0.329
Hg: 0.667 0.333 0.671
Br: 0.000 0.000 0.000

***

# 4
# HgBr

A relaxed HgBr crystal (GGA-PBE, the Alexandria database).

Output
- polymorph energy (0 for the lowest one) (kJ/mol of atoms) = 0.0
- magnetic moment (μB/atom) = 0.00
- DOS at the Fermi energy (states/eV/cell) = 0.0
- SG = No. 139

a = 4.872 Å, b = 4.872 Å, c = 11.363 Å
α = 90.00°, β = 90.00°, γ = 90.00°
Fractional positions:
Hg: 0.000 0.000 0.116
Hg: 0.000 0.000 0.884
Hg: 0.500 0.500 0.384
Hg: 0.500 0.500 0.616
Br: 0.000 0.000 0.343
Br: 0.000 0.000 0.657
Br: 0.500 0.500 0.157
Br: 0.500 0.500 0.843

***

# 5
# HgBr3

A relaxed HgBr3 crystal (GGA-PBE, the Alexandria database).

Output
- magnetic moment (μB/atom) = 0.00
- DOS at the Fermi energy (states/eV/cell) = 5.1
- total DFT energy (no corrections) (eV/atom) = -1.029
- SG = No. 123

a = 5.331 Å, b = 5.331 Å, c = 3.779 Å
α = 90.00°, β = 90.00°, γ = 90.00°
Fractional positions:
Hg: 0.000 0.000 0.000
Br: 0.000 0.500 0.500
Br: 0.500 0.000 0.500
Br: 0.500 0.500 0.000

***

# 6
# HgBr

A relaxed HgBr crystal (GGA-PBE, the Alexandria database).

Output
- polymorph energy (0 for the lowest one) (kJ/mol of atoms) = 6.7
- magnetic moment (μB/atom) = 0.00
- DOS at the Fermi energy (states/eV/cell) = 0.0
- SG = No. 70

a = 12.526 Å, b = 10.986 Å, c = 6.736 Å
α = 86.45°, β = 61.09°, γ = 32.46°
Fractional positions:
Hg: 0.021 0.229 0.021
Hg: 0.229 0.021 0.229
Hg: 0.771 0.979 0.771
Hg: 0.979 0.771 0.979
Br: 0.204 0.204 0.546
Br: 0.454 0.454 0.796
Br: 0.546 0.546 0.204
Br: 0.796 0.796 0.454

***

# 7
# Hg4Br

A relaxed Hg4Br crystal (GGA-PBE, the Alexandria database).

Output
- polymorph energy (0 for the lowest one) (kJ/mol of atoms) = 0.0
- magnetic moment (μB/atom) = 0.00
- DOS at the Fermi energy (states/eV/cell) = 1.9
- SG = No. 13

a = 7.125 Å, b = 5.612 Å, c = 9.499 Å
α = 90.00°, β = 108.73°, γ = 90.00°
Fractional positions:
Hg: 0.165 0.119 0.447
Hg: 0.165 0.881 0.947
Hg: 0.180 0.385 0.891
Hg: 0.180 0.615 0.391
Hg: 0.820 0.385 0.609
Hg: 0.820 0.615 0.109
Hg: 0.835 0.119 0.053
Hg: 0.835 0.881 0.553
Br: 0.500 0.248 0.750
Br: 0.500 0.752 0.250

***

# 8
# Hg2Br

A relaxed Hg2Br crystal (GGA-PBE, the Alexandria database).

Output
- polymorph energy (0 for the lowest one) (kJ/mol of atoms) = 0.7
- magnetic moment (μB/atom) = 0.00
- SG = No. 2

a = 4.316 Å, b = 6.522 Å, c = 7.626 Å
α = 95.07°, β = 90.43°, γ = 104.38°
Fractional positions:
Hg: 0.121 0.361 0.083
Hg: 0.322 0.062 0.246
Hg: 0.678 0.938 0.754
Hg: 0.879 0.639 0.917
Br: 0.397 0.239 0.657
Br: 0.603 0.761 0.343

***

# 9
# Hg3Br4

A relaxed Hg3Br4 crystal (GGA-PBE, the Alexandria database).

Output
- magnetic moment (μB/atom) = 0.00
- DOS at the Fermi energy (states/eV/cell) = 3.8
- total DFT energy (no corrections) (eV/atom) = -1.060
- SG = No. 191

a = 7.061 Å, b = 7.061 Å, c = 5.034 Å
α = 90.00°, β = 90.00°, γ = 120.00°
Fractional positions:
Hg: 0.000 0.500 0.000
Hg: 0.500 0.000 0.000
Hg: 0.500 0.500 0.000
Br: 0.000 0.000 0.254
Br: 0.000 0.000 0.746
Br: 0.333 0.667 0.500
Br: 0.667 0.333 0.500

***

# 10
# Hg3Br

A relaxed Hg3Br crystal (GGA-PBE, the Alexandria database).

Output
- polymorph energy (0 for the lowest one) (kJ/mol of atoms) = 7.8
- magnetic moment (μB/atom) = 0.00
- DOS at the Fermi energy (states/eV/cell) = 1.2
- SG = No. 10

a = 2.912 Å, b = 5.805 Å, c = 7.321 Å
α = 90.00°, β = 90.24°, γ = 90.00°
Fractional positions:
Hg: 0.000 0.000 0.000
Hg: 0.000 0.500 0.238
Hg: 0.000 0.500 0.762
Br: 0.000 0.000 0.500

***

# 11
# Hg2Br

A relaxed Hg2Br crystal (GGA-PBE, the Alexandria database).

Output
- polymorph energy (0 for the lowest one) (kJ/mol of atoms) = 26.9
- magnetic moment (μB/atom) = 0.00
- DOS at the Fermi energy (states/eV/cell) = 7.0
- SG = No. 227

a = 6.143 Å, b = 6.143 Å, c = 6.143 Å
α = 60.00°, β = 60.00°, γ = 60.00°
Fractional positions:
Hg: 0.000 0.000 0.000
Hg: 0.000 0.000 0.500
Hg: 0.000 0.500 0.000
Hg: 0.500 0.000 0.000
Br: 0.375 0.375 0.375
Br: 0.625 0.625 0.625

***

# 12
# HgBr5

A relaxed HgBr5 crystal (GGA-PBE, the Alexandria database).

Output
- polymorph energy (0 for the lowest one) (kJ/mol of atoms) = 43.1
- magnetic moment (μB/atom) = 0.00
- DOS at the Fermi energy (states/eV/cell) = 5.7
- SG = No. 191

a = 7.782 Å, b = 7.782 Å, c = 3.974 Å
α = 90.00°, β = 90.00°, γ = 120.00°
Fractional positions:
Hg: 0.000 0.000 0.000
Br: 0.000 0.500 0.500
Br: 0.333 0.667 0.000
Br: 0.500 0.000 0.500
Br: 0.500 0.500 0.500
Br: 0.667 0.333 0.000